The following is a DFT calculation (PBE-GGA) of crystalline CsH3F at its relaxed geometry.

## Properties
M_tot = 0.00 μB/f.u.
VASP energy = -8.91 eV per cell

extended XYZ file:
```
5
Lattice="-2.071 0.165 3.614 3.549 -0.716 2.066 0.702 4.104 0.215" Properties=species:S:1:pos:R:3 pbc="T T T"
Cs 0.000 0.000 0.000
H 1.775 -0.358 1.033
H -1.036 0.082 1.807
H 0.351 2.052 0.108
F 1.090 1.776 2.948
```